The following is a GGA-PBE calculation of an optimized crystal structure of Tb5Tl2Rh2, from Alexandria.

Output
Energy ... -5.282 eV per atom
Spin magnetization ... 0.00 μB per cell
Formation energy ... -0.550 eV per atom

a b c (Å): 16.3989 7.6574 7.5934
angles (deg): 90.00 90.00 90.00
With the nearest neighbours (Å) after each atom.
Space group Cmce (No. 64)
One atom of each set of equivalent atoms:
Tb  0.0000  0.0000  0.0000 x4  4 Rh 2.95-2.99
Tb  0.1162  0.1699  0.3352 x16  3 Rh 2.86-3.02
Tl  0.2199  0.0000  0.0000 x8  7 Tb 3.24-3.61
Rh  0.0000  0.1340  0.6358 x8  8 Tb 2.86-3.02, 1 Rh 2.91

=====

The following is a GGA-PBE calculation of an optimized crystal structure of Be3ZnH, from Alexandria.

Output
Energy above the lowest structure with this stoichiometry ... 0.868 eV per atom
Energy ... -1.904 eV per atom
Spin magnetization ... 0.00 μB per cell

a b c (Å): 4.1595 4.1595 4.1595
angles (deg): 90.00 90.00 90.00
With the nearest neighbours (Å) after each atom.
Space group Pm-3m (No. 221)
One atom of each set of equivalent atoms:
Be  0.0000  0.0000  0.5000 x3  2 Zn 2.08
Zn  0.0000  0.0000  0.0000 x1  6 Be 2.08
H  0.5000  0.5000  0.5000 x1  12 Be 2.94

=====

The following is a GGA-PBE calculation of an optimized crystal structure of AcGdSb, from Alexandria.

Output
Energy above the lowest structure with this stoichiometry ... 0.125 eV per atom
Energy ... -7.969 eV per atom
Spin magnetization ... 33.15 μB per cell

a b c (Å): 7.6419 7.6419 7.6419
angles (deg): 90.00 90.00 90.00
With the nearest neighbours (Å) after each atom.
Space group F-43m (No. 216)
One atom of each set of equivalent atoms:
Ac  0.0000  0.0000  0.0000 x4  4 Sb 3.31
Gd  0.0000  0.0000  0.5000 x4  4 Sb 3.31
Sb  0.2500  0.2500  0.2500 x4  4 Gd 3.31, 4 Ac 3.31

=====

The following is a GGA-PBE calculation of an optimized crystal structure of Te4Rh3, from Alexandria.

Output
Energy ... -5.332 eV per atom
Spin magnetization ... 0.00 μB per cell

a b c (Å): 12.9520 4.0244 6.9187
angles (deg): 90.00 119.37 90.00
With the nearest neighbours (Å) after each atom.
Space group C2/m (No. 12)
One atom of each set of equivalent atoms:
Te  0.1201  0.0000  0.4550 x4  4 Rh 2.64-2.74
Te  0.1347  0.5000  0.9802 x4  5 Rh 2.70-2.79
Rh  0.0000  0.0000  0.0000 x2  6 Te 2.71-2.74, 2 Rh 2.99
Rh  0.2358  0.5000  0.7189 x4  6 Te 2.64-2.79

=====

The following is a GGA-PBE calculation of an optimized crystal structure of Th7Ga5Sn, from Alexandria.

Output
Energy ... -5.773 eV per atom
Spin magnetization ... 0.00 μB per cell
Formation energy ... -0.306 eV per atom

a b c (Å): 6.0410 10.8090 10.7423
angles (deg): 90.00 90.00 90.00
With the nearest neighbours (Å) after each atom.
Space group Imm2 (No. 44)
One atom of each set of equivalent atoms:
Th  0.0000  0.0000  0.0000 x2  6 Ga 3.03-3.14
Th  0.0000  0.0000  0.3590 x2  4 Ga 3.29, 2 Th 3.39, 1 Sn 3.49
Th  0.0000  0.3284  0.7096 x4  5 Ga 3.12-3.25
Th  0.0000  0.3329  0.2440 x4  5 Ga 3.04-3.39, 1 Th 3.17
Th  0.0000  0.5000  0.0013 x2  4 Ga 3.04, 4 Th 3.17-3.39
Ga  0.0000  0.5000  0.4763 x2  6 Th 3.03-3.12, 4 Ga 3.17
Ga  0.2416  0.2552  0.9696 x8  3 Ga 2.92-3.17, 5 Th 3.04-3.25
Sn  0.0000  0.0000  0.6838 x2  10 Th 3.40-3.60

=====

The following is a GGA-PBE calculation of an optimized crystal structure of RbScZnTe3, from Alexandria.

Output
Energy ... -3.981 eV per atom
Spin magnetization ... 0.00 μB per cell

a b c (Å): 9.7846 4.2999 10.6266
angles (deg): 90.00 111.60 90.00
With the nearest neighbours (Å) after each atom.
Space group P2_1/m (No. 11)
One atom of each set of equivalent atoms:
Rb  0.2136  0.2500  0.2441 x2  7 Te 3.68-3.86
Sc  0.3330  0.7500  0.8644 x2  6 Te 2.89-3.14
Zn  0.0818  0.2500  0.6054 x2  4 Te 2.63-2.77
Te  0.1223  0.2500  0.8641 x2  1 Zn 2.63
Te  0.2171  0.7500  0.5472 x2  3 Zn 2.71-2.77
Te  0.4707  0.7500  0.1562 x2  3 Sc 2.89-2.94

=====

The following is a GGA-PBE calculation of an optimized crystal structure of Hf2ZrPb, from Alexandria.

Output
Energy above the lowest structure with this stoichiometry ... 0.618 eV per atom
Energy ... -7.556 eV per atom
Spin magnetization ... 0.00 μB per cell
Formation energy ... 0.485 eV per atom

a b c (Å): 8.1814 8.1814 5.9217
angles (deg): 90.00 90.00 90.00
With the nearest neighbours (Å) after each atom.
Space group I-42d (No. 122)
One atom of each set of equivalent atoms:
Hf  0.2422  0.2500  0.1250 x8  2 Pb 2.94, 2 Hf 2.96, 2 Zr 3.03
Zr  0.0000  0.0000  0.5000 x4  2 Pb 2.96, 4 Hf 3.03
Pb  0.0000  0.0000  0.0000 x4  4 Hf 2.94, 2 Zr 2.96

=====

The following is a GGA-PBE calculation of an optimized crystal structure of AcLuSnPt, from Alexandria.

Output
Energy ... -5.389 eV per atom
Spin magnetization ... 0.00 μB per cell
Formation energy ... -0.720 eV per atom

a b c (Å): 7.5621 7.5621 7.5621
angles (deg): 90.00 90.00 90.00
With the nearest neighbours (Å) after each atom.
Space group F-43m (No. 216)
One atom of each set of equivalent atoms:
Ac  0.0000  0.0000  0.0000 x4  4 Sn 3.27, 4 Pt 3.27
Lu  0.0000  0.0000  0.5000 x4  4 Sn 3.27, 4 Pt 3.27
Sn  0.2500  0.2500  0.7500 x4  4 Ac 3.27, 4 Lu 3.27
Pt  0.2500  0.2500  0.2500 x4  4 Ac 3.27, 4 Lu 3.27

=====

The following is a GGA-PBE calculation of an optimized crystal structure of Dy3Y6Th2Sc, from Alexandria.

Output
Energy ... -6.117 eV per atom
Spin magnetization ... 0.00 μB per cell
Formation energy ... 0.030 eV per atom

a b c (Å): 6.1260 10.6097 11.7616
angles (deg): 90.00 100.03 90.00
With the nearest neighbours (Å) after each atom.
Space group C2/m (No. 12)
One atom of each set of equivalent atoms:
Dy  0.0000  0.0000  0.0000 x2  6 Dy 3.53-3.54, 6 Y 3.58
Dy  0.0000  0.3337  0.0000 x4  6 Dy 3.53-3.54, 6 Y 3.57-3.58
Y  0.2485  0.3336  0.7464 x8  1 Sc 3.51, 2 Th 3.51, 6 Y 3.53-3.54, 3 Dy 3.58
Y  0.2488  0.0000  0.7465 x4  2 Th 3.51, 1 Sc 3.51, 6 Y 3.53-3.54, 3 Dy 3.57-3.58
Th  0.0000  0.1665  0.5000 x4  6 Y 3.51, 3 Th 3.53-3.54, 3 Sc 3.54
Sc  0.0000  0.5000  0.5000 x2  6 Y 3.51, 6 Th 3.54

=====

The following is a GGA-PBE calculation of an optimized crystal structure of LaTaAu2, from Alexandria.

Output
Energy above the lowest structure with this stoichiometry ... 0.266 eV per atom
Energy ... -5.772 eV per atom
Spin magnetization ... 0.62 μB per cell
Formation energy ... 0.062 eV per atom

a b c (Å): 4.2674 4.2674 9.5475
angles (deg): 90.00 90.00 90.00
With the nearest neighbours (Å) after each atom.
Space group I-4m2 (No. 119)
One atom of each set of equivalent atoms:
La  0.0000  0.0000  0.0000 x2  8 Au 3.02-3.20, 4 Ta 3.20
Ta  0.0000  0.5000  0.7500 x2  8 Au 3.02-3.20, 4 La 3.20
Au  0.0000  0.0000  0.5000 x2  4 La 3.02, 4 Ta 3.20, 4 Au 3.20
Au  0.0000  0.5000  0.2500 x2  4 Ta 3.02, 4 La 3.20, 4 Au 3.20

=====

The following is a GGA-PBE calculation of an optimized crystal structure of MgRh3, from Alexandria.

Output
Energy ... -5.905 eV per atom
Spin magnetization ... 1.49 μB per cell
Formation energy ... 0.008 eV per atom

a b c (Å): 4.9444 4.9444 4.9444
angles (deg): 90.00 90.00 90.00
With the nearest neighbours (Å) after each atom.
Space group Pm-3n (No. 223)
One atom of each set of equivalent atoms:
Mg  0.0000  0.0000  0.0000 x2  12 Rh 2.76
Rh  0.0000  0.2500  0.5000 x6  2 Rh 2.47, 4 Mg 2.76

=====

The following is a GGA-PBE calculation of an optimized crystal structure of PmAl3Co, from Alexandria.

Output
Energy above the lowest structure with this stoichiometry ... 0.121 eV per atom
Energy ... -5.018 eV per atom
Spin magnetization ... 0.00 μB per cell
Formation energy ... -0.401 eV per atom

a b c (Å): 4.5414 4.5414 4.5414
angles (deg): 90.00 90.00 90.00
With the nearest neighbours (Å) after each atom.
Space group Pm-3m (No. 221)
One atom of each set of equivalent atoms:
Pm  0.0000  0.0000  0.0000 x1  12 Al 3.21
Al  0.0000  0.5000  0.5000 x3  2 Co 2.27
Co  0.5000  0.5000  0.5000 x1  6 Al 2.27

=====

> The highest spin magnetization belongs to which entry?

AcGdSb

=====

> spin magnetization of number 7 (Hf2ZrPb)?

0.00 μB per cell

=====

> What is the energy in the fourth record?

-5.332 eV per atom